Density functional theory data (PBE) for a geometry-optimized ZrFe8Mo3 structure.

Results
Total magnetic moment: 6.27 μB per cell
ΔE_f: -0.04 eV/atom
Energy: -109.2 eV per cell
Crystal system: trigonal
Density: 8.9 g/cm3
Fermi-level density of states: 1.31 states/eV per atom

abc: 4.7469 4.7469 7.8629
angles: 90.00 90.00 120.00
Space group P3m1 (No. 156)
Inequivalent atoms, fractional coordinates:
Zr1 0.0000 0.0000 0.0000 x1
Fe1 0.1648 0.3295 0.6823 x3
Fe2 0.3333 0.6667 0.4359 x1
Fe3 0.3333 0.6667 0.9343 x1
Fe4 0.5032 0.0064 0.1882 x3
Mo1 0.0000 0.0000 0.3810 x1
Mo2 0.6667 0.3333 0.4936 x1
Mo3 0.6667 0.3333 0.8455 x1

Density functional theory data (PBE) for a geometry-optimized CsCrNiW2 structure.

Results
Total magnetic moment: 0.55 μB per cell
ΔE_f: 3.77 eV/atom
Energy: -23.3 eV per cell
Crystal system: tetragonal
Density: 9.0 g/cm3
Fermi-level density of states: 1.07 states/eV per atom

abc: 4.9275 4.9275 4.6461
angles: 90.00 90.00 90.00
Space group P4/mmm (No. 123)
Inequivalent atoms, fractional coordinates:
Cs1 0.0000 0.0000 0.0000 x1
Cr1 0.0000 0.0000 0.5000 x1
Ni1 0.5000 0.5000 0.5000 x1
W1 0.0000 0.5000 0.0000 x2